(P)
## Sn2HgPd8 (PBE)

Data for an optimized crystal structure of Sn2HgPd8.

Cell: 7.5763 7.5763 6.5254 Å, 108.12 108.12 31.60°
Closest atoms and distances in Å follow each position.
Element x y z (fractional)
Sn 0.2124 0.2124 0.1669  9 Pd 2.66-2.80
Sn 0.7876 0.7876 0.8331  9 Pd 2.66-2.80
Hg 0.5000 0.5000 0.5000  12 Pd 2.78-3.03
Pd 0.0370 0.0370 0.2281  1 Sn 2.71, 8 Pd 2.81-2.97, 2 Hg 2.88
Pd 0.1522 0.1522 0.7200  3 Sn 2.76-2.78, 6 Pd 2.89-2.94, 2 Hg 3.03
Pd 0.3240 0.3240 0.5805  3 Sn 2.66-2.80, 1 Hg 2.78, 8 Pd 2.82-2.94
Pd 0.4063 0.4063 0.0358  2 Sn 2.74, 8 Pd 2.81-2.97, 1 Hg 2.89
Pd 0.5937 0.5937 0.9642  2 Sn 2.74, 8 Pd 2.81-2.97, 1 Hg 2.89
Pd 0.6760 0.6760 0.4195  3 Sn 2.66-2.80, 1 Hg 2.78, 8 Pd 2.82-2.94
Pd 0.8478 0.8478 0.2800  3 Sn 2.76-2.78, 6 Pd 2.89-2.94, 2 Hg 3.03
Pd 0.9630 0.9630 0.7719  1 Sn 2.71, 8 Pd 2.81-2.97, 2 Hg 2.88

Properties
SG: C2/m, No. 12
Fermi-level density of states in states/eV per atom: 0.38
Crystal system: monoclinic
Magnetic moment in μB/atom: 0.00

***

(Q)
## Sn2HgPd8 (PBE)

Data for an optimized crystal structure of Sn2HgPd8.

Cell: 7.5061 7.5061 7.5061 Å, 147.43 121.98 68.14°
Closest atoms and distances in Å follow each position.
Element x y z (fractional)
Sn 0.1816 0.1816 0.0000  10 Pd 2.70-2.92
Sn 0.8184 0.8184 0.0000  10 Pd 2.70-2.92
Hg 0.5000 0.5000 0.0000  12 Pd 2.81-2.99
Pd 0.0688 0.3379 0.7309  3 Sn 2.70-2.76, 1 Hg 2.81, 5 Pd 2.82-2.92
Pd 0.2086 0.0000 0.2086  2 Sn 2.72, 7 Pd 2.87-3.04, 2 Hg 2.99
Pd 0.3443 0.8443 0.5000  8 Pd 2.82-2.88, 2 Hg 2.86, 2 Sn 2.92
Pd 0.3930 0.6621 0.7309  3 Sn 2.70-2.76, 1 Hg 2.81, 5 Pd 2.82-2.92
Pd 0.6070 0.3379 0.2691  3 Sn 2.70-2.76, 1 Hg 2.81, 5 Pd 2.82-2.92
Pd 0.6557 0.1557 0.5000  8 Pd 2.82-2.88, 2 Hg 2.86, 2 Sn 2.92
Pd 0.7914 0.0000 0.7914  2 Sn 2.72, 7 Pd 2.87-3.04, 2 Hg 2.99
Pd 0.9312 0.6621 0.2691  3 Sn 2.70-2.76, 1 Hg 2.81, 5 Pd 2.82-2.92

Properties
SG: Immm, No. 71
Fermi-level density of states in states/eV per atom: 0.25
Crystal system: orthorhombic
Magnetic moment in μB/atom: 0.00

***

Bottom line: (Q), by a margin of 13 meV per atom.

***

(P)
## SnHgPd5 (PBE)

Data for an optimized crystal structure of SnHgPd5.

Cell: 4.0645 4.0645 7.5954 Å, 90.00 90.00 90.00°
Closest atoms and distances in Å follow each position.
Element x y z (fractional)
Sn 0.0000 0.0000 0.0000  8 Pd 2.68
Hg 0.5000 0.5000 0.5000  12 Pd 2.87-2.89
Pd 0.0000 0.0000 0.5000  4 Hg 2.87, 8 Pd 2.89
Pd 0.0000 0.5000 0.2298  2 Sn 2.68, 6 Pd 2.87-2.89, 2 Hg 2.89
Pd 0.0000 0.5000 0.7702  2 Sn 2.68, 6 Pd 2.87-2.89, 2 Hg 2.89
Pd 0.5000 0.0000 0.2298  2 Sn 2.68, 6 Pd 2.87-2.89, 2 Hg 2.89
Pd 0.5000 0.0000 0.7702  2 Sn 2.68, 6 Pd 2.87-2.89, 2 Hg 2.89

Properties
SG: P4/mmm, No. 123
Fermi-level density of states in states/eV per atom: 0.41
Crystal system: tetragonal
Magnetic moment in μB/atom: 0.00

***

(Q)
## SnHgPd5 (PBE)

Data for an optimized crystal structure of SnHgPd5.

Cell: 4.7505 4.7505 11.6008 Å, 90.00 90.00 75.71°
Closest atoms and distances in Å follow each position.
Element x y z (fractional)
Sn 0.0597 0.9403 0.7500  9 Pd 2.67-2.86
Sn 0.9403 0.0597 0.2500  9 Pd 2.67-2.86
Hg 0.5000 0.5000 0.0000  10 Pd 2.77-2.90
Hg 0.5000 0.5000 0.5000  10 Pd 2.77-2.90
Pd 0.0214 0.4348 0.6237  2 Sn 2.74-2.86, 6 Pd 2.77-2.93, 2 Hg 2.77-2.81
Pd 0.0214 0.4348 0.8763  2 Sn 2.74-2.86, 6 Pd 2.77-2.93, 2 Hg 2.77-2.81
Pd 0.4348 0.0214 0.1237  2 Sn 2.74-2.86, 6 Pd 2.77-2.93, 2 Hg 2.77-2.81
Pd 0.4348 0.0214 0.3763  2 Sn 2.74-2.86, 6 Pd 2.77-2.93, 2 Hg 2.77-2.81
Pd 0.4819 0.5181 0.2500  1 Sn 2.67, 8 Pd 2.77-2.83, 2 Hg 2.90
Pd 0.5181 0.4819 0.7500  1 Sn 2.67, 8 Pd 2.77-2.83, 2 Hg 2.90
Pd 0.5652 0.9786 0.6237  2 Sn 2.74-2.86, 6 Pd 2.77-2.93, 2 Hg 2.77-2.81
Pd 0.5652 0.9786 0.8763  2 Sn 2.74-2.86, 6 Pd 2.77-2.93, 2 Hg 2.77-2.81
Pd 0.9786 0.5652 0.1237  2 Sn 2.74-2.86, 6 Pd 2.77-2.93, 2 Hg 2.77-2.81
Pd 0.9786 0.5652 0.3763  2 Sn 2.74-2.86, 6 Pd 2.77-2.93, 2 Hg 2.77-2.81

Properties
SG: Cmcm, No. 63
Fermi-level density of states in states/eV per atom: 0.42
Crystal system: orthorhombic
Magnetic moment in μB/atom: 0.00

***

Bottom line: (P), by a margin of 14 meV per atom.

***

(P)
## Sn2HgPd7 (PBE)

Data for an optimized crystal structure of Sn2HgPd7.

Cell: 7.7367 7.7367 4.2979 Å, 90.00 90.00 123.17°
Closest atoms and distances in Å follow each position.
Element x y z (fractional)
Sn 0.1966 0.8034 0.0000  5 Pd 2.58-2.68
Sn 0.8034 0.1966 0.0000  5 Pd 2.58-2.68
Hg 0.5000 0.5000 0.5000  10 Pd 2.70-2.93
Pd 0.0000 0.0000 0.0000  2 Sn 2.68, 4 Pd 2.74
Pd 0.2085 0.4225 0.0000  1 Sn 2.62, 5 Pd 2.72-2.91, 2 Hg 2.93
Pd 0.3019 0.6981 0.5000  2 Sn 2.58, 1 Hg 2.70, 4 Pd 2.83
Pd 0.4225 0.2085 0.0000  1 Sn 2.62, 5 Pd 2.72-2.91, 2 Hg 2.93
Pd 0.5775 0.7915 0.0000  1 Sn 2.62, 5 Pd 2.72-2.91, 2 Hg 2.93
Pd 0.6981 0.3019 0.5000  2 Sn 2.58, 1 Hg 2.70, 4 Pd 2.83
Pd 0.7915 0.5775 0.0000  1 Sn 2.62, 5 Pd 2.72-2.91, 2 Hg 2.93

Properties
SG: Cmmm, No. 65
Fermi-level density of states in states/eV per atom: 0.59
Crystal system: orthorhombic
Magnetic moment in μB/atom: 0.00

***

(Q)
## Sn2HgPd7 (PBE)

Data for an optimized crystal structure of Sn2HgPd7.

Cell: 11.3342 11.3342 11.3342 Å, 159.13 159.13 29.68°
Closest atoms and distances in Å follow each position.
Element x y z (fractional)
Sn 0.1701 0.1701 0.0000  8 Pd 2.67-2.70
Sn 0.8299 0.8299 0.0000  8 Pd 2.67-2.70
Hg 0.5000 0.5000 0.0000  12 Pd 2.88-2.90
Pd 0.0000 0.0000 0.0000  8 Pd 2.88, 4 Hg 2.90
Pd 0.0924 0.5924 0.5000  2 Sn 2.67, 6 Pd 2.88-2.90, 2 Hg 2.88
Pd 0.2500 0.7500 0.5000  4 Sn 2.70, 4 Pd 2.90
Pd 0.4076 0.9076 0.5000  2 Sn 2.67, 2 Hg 2.88, 6 Pd 2.88-2.90
Pd 0.5924 0.0924 0.5000  2 Sn 2.67, 6 Pd 2.88-2.90, 2 Hg 2.88
Pd 0.7500 0.2500 0.5000  4 Sn 2.70, 4 Pd 2.90
Pd 0.9076 0.4076 0.5000  2 Sn 2.67, 2 Hg 2.88, 6 Pd 2.88-2.90

Properties
SG: I4/mmm, No. 139
Fermi-level density of states in states/eV per atom: 0.42
Crystal system: tetragonal
Magnetic moment in μB/atom: 0.00

***

Bottom line: (Q), by a margin of 318 meV per atom.